# 1
The following is a PBE-GGA calculation of a relaxed AcCeSi2Ni2 crystal, from Alexandria.

The structure belongs to space group P-3m1 (No. 164); the cell edges are 4.1120, 4.1120 and 8.3911 Å and the angles 90.00°, 90.00° and 120.00°. The asymmetric unit holds Ac at (0.0000, 0.0000, 0.0000), Ce at (0.0000, 0.0000, 0.5000), Si at (0.3333, 0.6667, 0.2708) and Ni at (0.3333, 0.6667, 0.7272).

The uncorrected formation energy comes out at -685 meV per atom. The calculation puts the calculated total energy at -36.562 eV per cell. The density of states at the Fermi level is 1.025 states/eV per atom.

---

# 2
The following is a PBE-GGA calculation of a relaxed Nb5ReW4 crystal, from Alexandria.

The structure belongs to space group I4 (No. 79); the cell edges are 8.591, 8.591 and 4.995 Å and the angles 90.00°, 90.00° and 90.00°. The asymmetric unit holds Nb at (0.000, 0.000, 0.000), Nb at (0.167, 0.776, 0.330), Re at (0.000, 0.000, 0.511) and W at (0.022, 0.652, 0.832).

Its formation energy is 0.64 eV/atom. The calculation puts the excess energy over the best structure of this formula in the dataset at 749 meV/atom. The calculation puts the calculated total energy at -216.337 eV per cell. The density of states at the Fermi level is 0.702 states/eV per atom.

---

# 3
The following is a PBE-GGA calculation of a relaxed VSb crystal, from Alexandria.

The structure belongs to space group Amm2 (No. 38); the cell edges are 3.441, 9.429 and 7.392 Å and the angles 90.00°, 90.00° and 90.00°. The asymmetric unit holds V at (0.000, 0.000, 0.000), V at (0.500, 0.206, 0.986), Sb at (0.000, 0.160, 0.700) and Sb at (0.500, 0.000, 0.291).

The uncorrected formation energy comes out at 89 meV per atom. The calculation puts the calculated total energy at -78.375 eV per cell. The density of states at the Fermi level is 0.671 states/eV per atom.